This record from the Alexandria database describes a relaxed Nd2Er7Sc2 crystal. The functional is PBE.

Values from the calculation:
N(E_F) = 35.29 states/eV/cell
DFT formation energy = 0.178 eV per atom
spin magnetization = 0.001 μB/atom
distance to the lowest polymorph of the same formula = 137 meV per atom

abc: 3.528 17.093 11.483
angles: 90.00 90.00 90.00
Space group Imm2 (No. 44)
One atom of each set of equivalent atoms:
1 Nd 0.000 0.209 0.000 x4
2 Er 0.000 0.000 0.909 x2
3 Er 0.000 0.110 0.487 x4
4 Er 0.000 0.334 0.247 x4
5 Er 0.000 0.337 0.749 x4
6 Sc 0.000 0.000 0.218 x2
7 Sc 0.000 0.500 0.162 x2

This record from the Alexandria database describes a relaxed La3Nd2Mg crystal. The functional is PBE.

Values from the calculation:
N(E_F) = 16.26 states/eV/cell
DFT formation energy = -0.009 eV per atom
spin magnetization = 0.000 μB/atom
distance to the lowest polymorph of the same formula = 0 meV per atom

abc: 7.2652 7.2652 8.9500
angles: 90.00 90.00 120.00
Space group P-3m1 (No. 164)
One atom of each set of equivalent atoms:
1 La 0.1671 0.3341 0.1672 x6
2 Nd 0.0000 0.0000 0.5000 x1
3 Nd 0.0000 0.5000 0.5000 x3
4 Mg 0.3333 0.6667 0.8297 x2

This record from the Alexandria database describes a relaxed TbScTlPt crystal. The functional is PBE.

Values from the calculation:
N(E_F) = 15.05 states/eV/cell
DFT formation energy = -0.657 eV per atom
spin magnetization = 0.000 μB/atom

abc: 7.114 7.114 7.114
angles: 90.00 90.00 90.00
Space group F-43m (No. 216)
One atom of each set of equivalent atoms:
1 Tb 0.000 0.000 0.000 x4
2 Sc 0.000 0.000 0.500 x4
3 Tl 0.250 0.250 0.750 x4
4 Pt 0.250 0.250 0.250 x4

This record from the Alexandria database describes a relaxed Fe5Ni2Pt crystal. The functional is PBE.

Values from the calculation:
N(E_F) = 14.33 states/eV/cell
DFT formation energy = -0.065 eV per atom
spin magnetization = 1.909 μB/atom

abc: 3.629 3.629 14.858
angles: 90.00 90.00 90.00
Space group I4/mmm (No. 139)
One atom of each set of equivalent atoms:
1 Fe 0.000 0.000 0.000 x2
2 Fe 0.000 0.500 0.133 x8
3 Ni 0.000 0.000 0.250 x4
4 Pt 0.000 0.000 0.500 x2

This record from the Alexandria database describes a relaxed Ba2BiSb2 crystal. The functional is PBE.

Values from the calculation:
N(E_F) = 6.76 states/eV/cell
spin magnetization = 0.000 μB/atom
formation energy (no corrections) = -0.83 eV/atom
distance to the lowest polymorph of the same formula = 0 meV per atom

abc: 4.827 7.697 10.164
angles: 90.00 90.00 90.00
Space group Immm (No. 71)
One atom of each set of equivalent atoms:
1 Ba 0.000 0.000 0.220 x4
2 Bi 0.000 0.500 0.000 x2
3 Sb 0.000 0.297 0.500 x4

This record from the Alexandria database describes a relaxed Zn2CuAs crystal. The functional is PBE.

Values from the calculation:
N(E_F) = 3.30 states/eV/cell
DFT formation energy = 0.142 eV per atom
spin magnetization = 0.000 μB/atom

abc: 2.8996 2.8996 25.7728
angles: 90.00 90.00 120.00
Space group R-3m (No. 166, hexagonal axes)
One atom of each set of equivalent atoms:
1 Zn 0.0000 0.0000 0.2443 x6
2 Cu 0.0000 0.0000 0.5000 x3
3 As 0.0000 0.0000 0.0000 x3